# 1
Compound: FeRu3
Source: the Alexandria database
Functional: GGA-PBEsol
Structure: relaxed

Results
For the formation enthalpy at 0 K, the calculation gives 0.051 eV per atom. As for the density of states at the Fermi level: 3.8 states/eV per cell. Its total energy is -9.819 eV per atom.

```
data_FeRu3
_space_group_name_H-M_alt 'P m m 2'
_space_group_IT_number 25
_cell_length_a 2.6460
_cell_length_b 4.1468
_cell_length_c 4.5575
_cell_angle_alpha 90.00
_cell_angle_beta 90.00
_cell_angle_gamma 90.00
loop_
_space_group_symop_operation_xyz
'x,y,z'
'-x,-y,z'
'-x,y,z'
'x,-y,z'
loop_
_atom_site_label
_atom_site_type_symbol
_atom_site_fract_x
_atom_site_fract_y
_atom_site_fract_z
Fe1 Fe 0.0000 0.0000 0.0000
Ru1 Ru 0.0000 0.5000 0.3266
Ru2 Ru 0.5000 0.0000 0.5052
Ru3 Ru 0.5000 0.5000 0.8439
```


# 2
Compound: NaTi6Se8
Source: the Alexandria database
Functional: GGA-PBEsol
Structure: relaxed

Results
As for the density of states at the Fermi level: 8.1 states/eV per cell. Its total energy is -6.712 eV per atom. The value obtained for the formation energy (no corrections) is -1.24 eV per atom.

```
data_NaTi6Se8
_space_group_name_H-M_alt 'P -3'
_space_group_IT_number 147
_cell_length_a 9.7107
_cell_length_b 9.7107
_cell_length_c 3.5367
_cell_angle_alpha 90.00
_cell_angle_beta 90.00
_cell_angle_gamma 120.00
loop_
_space_group_symop_operation_xyz
'x,y,z'
'-x,-y,-z'
'-y,x-y,z'
'y,-x+y,-z'
'-x+y,-x,z'
'x-y,x,-z'
loop_
_atom_site_label
_atom_site_type_symbol
_atom_site_fract_x
_atom_site_fract_y
_atom_site_fract_z
Na1 Na 0.0000 0.0000 0.0000
Ti1 Ti 0.1281 0.6361 0.2493
Se1 Se 0.0506 0.3449 0.2513
Se2 Se 0.3333 0.6667 0.7495
```


# 3
Compound: HfAsN2F
Source: the Alexandria database
Functional: GGA-PBEsol
Structure: relaxed

Results
As for the density of states at the Fermi level: 2.2 states/eV per cell. Its total energy is -6.890 eV per atom. The value obtained for the formation energy (no corrections) is 0.03 eV per atom.

```
data_HfAsN2F
_space_group_name_H-M_alt 'P 4/m m m'
_space_group_IT_number 123
_space_group_name_Hall '-P 4 2'
_cell_length_a 3.9083
_cell_length_b 3.9083
_cell_length_c 3.7835
_cell_angle_alpha 90.00
_cell_angle_beta 90.00
_cell_angle_gamma 90.00
loop_
_atom_site_label
_atom_site_type_symbol
_atom_site_fract_x
_atom_site_fract_y
_atom_site_fract_z
Hf1 Hf 0.0000 0.0000 0.0000
As1 As 0.5000 0.5000 0.5000
N1 N 0.0000 0.5000 0.5000
F1 F 0.5000 0.5000 0.0000
```


# 4
Compound: Rb4P21I
Source: the Alexandria database
Functional: GGA-PBEsol
Structure: relaxed

Results
Its total energy is -5.175 eV per atom. The value obtained for the formation energy (no corrections) is -0.27 eV per atom.

```
data_Rb4P21I
_space_group_name_H-M_alt 'C m c m'
_space_group_IT_number 63
_space_group_name_Hall '-C 2c 2'
_cell_length_a 21.8889
_cell_length_b 13.3359
_cell_length_c 9.7487
_cell_angle_alpha 90.00
_cell_angle_beta 90.00
_cell_angle_gamma 90.00
loop_
_atom_site_label
_atom_site_type_symbol
_atom_site_fract_x
_atom_site_fract_y
_atom_site_fract_z
Rb1 Rb 0.0858 0.1576 0.2500
Rb2 Rb 0.1195 0.5000 0.0000
P1 P 0.0000 0.0464 0.7500
P2 P 0.0000 0.1521 0.5854
P3 P 0.0741 0.2606 0.6343
P4 P 0.1504 0.1639 0.5749
P5 P 0.1724 0.0609 0.7500
P6 P 0.2195 0.2741 0.2500
P7 P 0.2213 0.2829 0.5833
P8 P 0.2297 0.4345 0.2500
I1 I 0.0000 0.3992 0.2500
```


# 5
Compound: TaMn2In
Source: the Alexandria database
Functional: GGA-PBEsol
Structure: relaxed

Results
For the formation enthalpy at 0 K, the calculation gives 0.383 eV per atom. As for the density of states at the Fermi level: 10.9 states/eV per cell. Its total energy is -8.381 eV per atom.

```
data_TaMn2In
_space_group_name_H-M_alt 'R -3 m'
_space_group_IT_number 166
_space_group_name_Hall '-R 3 2"'
_cell_length_a 2.9971
_cell_length_b 2.9971
_cell_length_c 24.7703
_cell_angle_alpha 90.00
_cell_angle_beta 90.00
_cell_angle_gamma 120.00
loop_
_atom_site_label
_atom_site_type_symbol
_atom_site_fract_x
_atom_site_fract_y
_atom_site_fract_z
Ta1 Ta 0.0000 0.0000 0.0000
Mn1 Mn 0.0000 0.0000 0.2564
In1 In 0.0000 0.0000 0.5000
```


# 6
Compound: WSNCl2
Source: the Alexandria database
Functional: GGA-PBEsol
Structure: relaxed

Results
The energy above the lowest structure with this stoichiometry comes out at 0 meV/atom. As for the density of states at the Fermi level: 2.2 states/eV per cell. Its total energy is -5.340 eV per atom. The value obtained for the formation energy (no corrections) is 0.81 eV per atom.

```
data_WSNCl2
_space_group_name_H-M_alt 'P 4/m m m'
_space_group_IT_number 123
_space_group_name_Hall '-P 4 2'
_cell_length_a 4.7654
_cell_length_b 4.7654
_cell_length_c 4.5485
_cell_angle_alpha 90.00
_cell_angle_beta 90.00
_cell_angle_gamma 90.00
loop_
_atom_site_label
_atom_site_type_symbol
_atom_site_fract_x
_atom_site_fract_y
_atom_site_fract_z
W1 W 0.0000 0.0000 0.0000
S1 S 0.0000 0.0000 0.5000
N1 N 0.5000 0.5000 0.5000
Cl1 Cl 0.0000 0.5000 0.0000
```


# 7
Compound: NaMg2TaIn
Source: the Alexandria database
Functional: GGA-PBEsol
Structure: relaxed

Results
For the formation enthalpy at 0 K, the calculation gives 1.323 eV per atom. As for the density of states at the Fermi level: 4.0 states/eV per cell. Its total energy is -2.750 eV per atom.

```
data_NaMg2TaIn
_space_group_name_H-M_alt 'P 4/m m m'
_space_group_IT_number 123
_space_group_name_Hall '-P 4 2'
_cell_length_a 4.7101
_cell_length_b 4.7101
_cell_length_c 4.9595
_cell_angle_alpha 90.00
_cell_angle_beta 90.00
_cell_angle_gamma 90.00
loop_
_atom_site_label
_atom_site_type_symbol
_atom_site_fract_x
_atom_site_fract_y
_atom_site_fract_z
Na1 Na 0.0000 0.0000 0.0000
Mg1 Mg 0.0000 0.5000 0.0000
Ta1 Ta 0.5000 0.5000 0.5000
In1 In 0.0000 0.0000 0.5000
```


# 8
Compound: KAgBr2
Source: the Alexandria database
Functional: GGA-PBEsol
Structure: relaxed

Results
As for the density of states at the Fermi level: 0.0 states/eV per cell. Its total energy is -3.022 eV per atom. The value obtained for the formation energy (no corrections) is -0.98 eV per atom.

```
data_KAgBr2
_space_group_name_H-M_alt 'C 1 m 1'
_space_group_IT_number 8
_cell_length_a 14.6602
_cell_length_b 4.0742
_cell_length_c 4.0732
_cell_angle_alpha 90.00
_cell_angle_beta 106.02
_cell_angle_gamma 90.00
loop_
_space_group_symop_operation_xyz
'x,y,z'
'x,-y,z'
'x+1/2,y+1/2,z'
'x+1/2,-y+1/2,z'
loop_
_atom_site_label
_atom_site_type_symbol
_atom_site_fract_x
_atom_site_fract_y
_atom_site_fract_z
K1 K 0.0000 0.0000 0.0000
Ag1 Ag 0.2501 0.5000 0.2490
Br1 Br 0.1291 0.5000 0.6292
Br2 Br 0.3709 0.0000 0.3710
```


# 9
Compound: MoOs5
Source: the Alexandria database
Functional: GGA-PBEsol
Structure: relaxed

Results
The energy above the lowest structure with this stoichiometry comes out at 17 meV/atom. For the formation enthalpy at 0 K, the calculation gives -0.020 eV per atom. As for the density of states at the Fermi level: 8.5 states/eV per cell. Its total energy is -12.161 eV per atom.

```
data_MoOs5
_space_group_name_H-M_alt 'A m m 2'
_space_group_IT_number 38
_cell_length_a 4.3382
_cell_length_b 2.7418
_cell_length_c 14.2737
_cell_angle_alpha 90.00
_cell_angle_beta 90.00
_cell_angle_gamma 90.00
loop_
_space_group_symop_operation_xyz
'x,y,z'
'-x,-y,z'
'-x,y,z'
'x,-y,z'
'x,y+1/2,z+1/2'
'-x,-y+1/2,z+1/2'
'-x,y+1/2,z+1/2'
'x,-y+1/2,z+1/2'
loop_
_atom_site_label
_atom_site_type_symbol
_atom_site_fract_x
_atom_site_fract_y
_atom_site_fract_z
Mo1 Mo 0.0000 0.0000 0.0000
Os1 Os 0.0000 0.0000 0.3332
Os2 Os 0.0000 0.0000 0.6690
Os3 Os 0.5000 0.0000 0.2219
Os4 Os 0.5000 0.0000 0.5565
Os5 Os 0.5000 0.0000 0.8895
```


# 10
Compound: LaTe2SeI
Source: the Alexandria database
Functional: GGA-PBEsol
Structure: relaxed

Results
As for the density of states at the Fermi level: 4.3 states/eV per cell. Its total energy is -3.962 eV per atom. The value obtained for the formation energy (no corrections) is -0.36 eV per atom.

```
data_LaTe2SeI
_space_group_name_H-M_alt 'P 4/m m m'
_space_group_IT_number 123
_space_group_name_Hall '-P 4 2'
_cell_length_a 5.5014
_cell_length_b 5.5014
_cell_length_c 5.3765
_cell_angle_alpha 90.00
_cell_angle_beta 90.00
_cell_angle_gamma 90.00
loop_
_atom_site_label
_atom_site_type_symbol
_atom_site_fract_x
_atom_site_fract_y
_atom_site_fract_z
La1 La 0.0000 0.0000 0.0000
Te1 Te 0.0000 0.5000 0.5000
Se1 Se 0.5000 0.5000 0.5000
I1 I 0.5000 0.5000 0.0000
```


# 11
Compound: SnBiI2
Source: the Alexandria database
Functional: GGA-PBEsol
Structure: relaxed

Results
As for the density of states at the Fermi level: 8.3 states/eV per cell. Its total energy is -2.941 eV per atom. The value obtained for the formation energy (no corrections) is 0.08 eV per atom.

```
data_SnBiI2
_space_group_name_H-M_alt 'I -4 2 d'
_space_group_IT_number 122
_space_group_name_Hall 'I -4 2bw'
_cell_length_a 8.7706
_cell_length_b 8.7706
_cell_length_c 7.1824
_cell_angle_alpha 90.00
_cell_angle_beta 90.00
_cell_angle_gamma 90.00
loop_
_atom_site_label
_atom_site_type_symbol
_atom_site_fract_x
_atom_site_fract_y
_atom_site_fract_z
Sn1 Sn 0.0000 0.0000 0.0000
Bi1 Bi 0.0000 0.0000 0.5000
I1 I 0.2447 0.7500 0.1250
```


# 12
Compound: LaHf3F
Source: the Alexandria database
Functional: GGA-PBEsol
Structure: relaxed

Results
As for the density of states at the Fermi level: 8.4 states/eV per cell. Its total energy is -8.144 eV per atom. The value obtained for the formation energy (no corrections) is -0.39 eV per atom.

```
data_LaHf3F
_space_group_name_H-M_alt 'P m -3 m'
_space_group_IT_number 221
_space_group_name_Hall '-P 4 2 3'
_cell_length_a 4.6710
_cell_length_b 4.6710
_cell_length_c 4.6710
_cell_angle_alpha 90.00
_cell_angle_beta 90.00
_cell_angle_gamma 90.00
loop_
_atom_site_label
_atom_site_type_symbol
_atom_site_fract_x
_atom_site_fract_y
_atom_site_fract_z
La1 La 0.0000 0.0000 0.0000
Hf1 Hf 0.0000 0.5000 0.5000
F1 F 0.5000 0.5000 0.5000
```


Repeat the fifth record exactly.
Compound: TaMn2In
Source: the Alexandria database
Functional: GGA-PBEsol
Structure: relaxed

Results
For the formation enthalpy at 0 K, the calculation gives 0.383 eV per atom. As for the density of states at the Fermi level: 10.9 states/eV per cell. Its total energy is -8.381 eV per atom.

```
data_TaMn2In
_space_group_name_H-M_alt 'R -3 m'
_space_group_IT_number 166
_space_group_name_Hall '-R 3 2"'
_cell_length_a 2.9971
_cell_length_b 2.9971
_cell_length_c 24.7703
_cell_angle_alpha 90.00
_cell_angle_beta 90.00
_cell_angle_gamma 120.00
loop_
_atom_site_label
_atom_site_type_symbol
_atom_site_fract_x
_atom_site_fract_y
_atom_site_fract_z
Ta1 Ta 0.0000 0.0000 0.0000
Mn1 Mn 0.0000 0.0000 0.2564
In1 In 0.0000 0.0000 0.5000
```